Rh2AuCN: relaxed, PBEsol.

## Properties
Crystal system = tetragonal
Volume = 12.989 A^3/atom
Space-group type = P4/mmm (123)
ΔE_f (raw) = 1.39 eV/atom
E_tot = -31.4 eV/cell
Spin magnetization = 1.0 μB per cell

Lattice parameters (Å, degrees): 3.947 3.947 4.169 90.00 90.00 90.00
Each line ends with the local moment (μB).
Fractional positions:
Au: 0.000 0.000 0.500  0.03
Rh: 0.500 0.000 0.000  0.18
Rh: 0.000 0.500 0.000  0.18
N: 0.500 0.500 0.500  0.45
C: 0.000 0.000 0.000  0.00